# Ac2AuI2N

Ac2AuI2N after structural relaxation (PBE-GGA, Alexandria via LeMat-Bulk).

Properties
spin magnetization	0.0	μB per formula unit
calculated density	6.901	g cm⁻³
total energy	-59.56	eV for the cell shown
raw formation energy	-1.14	eV/atom

Cell: 4.4296 12.1558 8.2112 Å, 90.00 90.00 90.00°
Positions (direct):
Ac: 0.0000 0.0588 0.0000
Ac: 0.0000 0.9412 0.5000
Ac: 0.5000 0.2141 0.3554
Ac: 0.5000 0.7859 0.8554
Au: 0.5000 0.0772 0.6833
Au: 0.5000 0.9228 0.1833
I: 0.0000 0.3957 0.5024
I: 0.0000 0.6043 0.0024
I: 0.5000 0.2726 0.9530
I: 0.5000 0.7274 0.4530
N: 0.0000 0.1071 0.2993
N: 0.0000 0.8929 0.7993

***

# Sr3Mg4Zn4

Sr3Mg4Zn4 after structural relaxation (PBE-GGA, Alexandria via LeMat-Bulk).

Properties
ΔE_f	-0.082	eV per atom
spin magnetization	0.0	μB per formula unit
calculated density	3.378	g cm⁻³
total energy	-17.42	eV for the cell shown

Cell: 7.3500 7.3500 7.3500 Å, 109.47 109.47 109.47°
Positions (direct):
Sr: 0.0000 0.5000 0.5000
Sr: 0.5000 0.0000 0.5000
Sr: 0.5000 0.5000 0.0000
Mg: 0.0000 0.0000 0.7382
Mg: 0.0000 0.7382 0.0000
Mg: 0.2618 0.2618 0.2618
Mg: 0.7382 0.0000 0.0000
Zn: 0.0000 0.0000 0.3811
Zn: 0.0000 0.3811 0.0000
Zn: 0.3811 0.0000 0.0000
Zn: 0.6189 0.6189 0.6189

***

# KAs2Pt

KAs2Pt after structural relaxation (PBE-GGA, Alexandria via LeMat-Bulk).

Properties
ΔE_f	-0.153	eV per atom
spin magnetization	0.0	μB per formula unit
calculated density	7.050	g cm⁻³
total energy	-17.05	eV for the cell shown

Cell: 3.5859 3.5859 7.0344 Å, 90.00 90.00 90.00°
Positions (direct):
K: 0.0000 0.0000 0.0000
As: 0.5000 0.5000 0.3329
As: 0.5000 0.5000 0.6671
Pt: 0.0000 0.0000 0.5000

***

# Pm2Al5PdRh2

Pm2Al5PdRh2 after structural relaxation (PBE-GGA, Alexandria via LeMat-Bulk).

Properties
ΔE_f	-0.659	eV per atom
spin magnetization	0.0	μB per formula unit
calculated density	6.557	g cm⁻³
total energy	-109.40	eV for the cell shown

Cell: 10.0459 10.0459 3.6998 Å, 90.00 90.00 90.00°
Positions (direct):
Pm: 0.1863 0.3137 0.0000
Pm: 0.3137 0.8137 0.0000
Pm: 0.6863 0.1863 0.0000
Pm: 0.8137 0.6863 0.0000
Al: 0.0000 0.5000 0.5000
Al: 0.0497 0.8028 0.5000
Al: 0.1972 0.0497 0.5000
Al: 0.3028 0.5497 0.5000
Al: 0.4503 0.3028 0.5000
Al: 0.5000 0.0000 0.5000
Al: 0.5497 0.6972 0.5000
Al: 0.6972 0.4503 0.5000
Al: 0.8028 0.9503 0.5000
Al: 0.9503 0.1972 0.5000
Pd: 0.0000 0.0000 0.0000
Pd: 0.5000 0.5000 0.0000
Rh: 0.1149 0.6149 0.0000
Rh: 0.3851 0.1149 0.0000
Rh: 0.6149 0.8851 0.0000
Rh: 0.8851 0.3851 0.0000

***

# Hf2Te3S

Hf2Te3S after structural relaxation (PBE-GGA, Alexandria via LeMat-Bulk).

Properties
spin magnetization	0.0	μB per formula unit
calculated density	6.423	g cm⁻³
total energy	-79.07	eV for the cell shown
raw formation energy	-1.01	eV/atom

Cell: 9.6198 9.6198 13.4235 Å, 124.83 124.83 23.30°
Positions (direct):
Hf: 0.2441 0.2441 0.1236
Hf: 0.2561 0.2561 0.6349
Hf: 0.7439 0.7439 0.3651
Hf: 0.7559 0.7559 0.8764
Te: 0.1211 0.1211 0.1878
Te: 0.3646 0.3646 0.5440
Te: 0.3708 0.3708 0.0684
Te: 0.6292 0.6292 0.9316
Te: 0.6354 0.6354 0.4560
Te: 0.8789 0.8789 0.8122
S: 0.1738 0.1738 0.7312
S: 0.8262 0.8262 0.2688